# 1
A plane-wave DFT calculation with PBE was carried out for a relaxed Sr2LuFe crystal.

Computed properties:
Total DFT energy (no corrections), eV for the cell shown: -13.337

Lattice parameters (Å, degrees): 5.400 5.400 5.400 60.00 60.00 60.00
Element x y z (fractional)
Fe 0.250 0.250 0.250
Lu 0.500 0.500 0.500
Sr 0.000 0.000 0.000
Sr 0.750 0.750 0.750



# 2
A plane-wave DFT calculation with PBE was carried out for a relaxed ScCo2NiSb2 crystal.

Computed properties:
Total DFT energy (no corrections), eV for the cell shown: -72.342

Lattice parameters (Å, degrees): 4.229 8.223 5.947 90.00 90.00 90.00
Element x y z (fractional)
Co 0.500 0.615 0.243
Co 0.500 0.144 0.262
Co 0.000 0.385 0.743
Co 0.000 0.856 0.762
Ni 0.000 0.616 0.002
Ni 0.500 0.384 0.502
Sb 0.500 0.867 0.008
Sb 0.000 0.619 0.476
Sb 0.000 0.133 0.508
Sb 0.500 0.381 0.976
Sc 0.000 0.123 0.008
Sc 0.500 0.877 0.508



# 3
A plane-wave DFT calculation with PBE was carried out for a relaxed RbFeCuOs crystal.

Computed properties:
Total DFT energy (no corrections), eV for the cell shown: -16.739

Lattice parameters (Å, degrees): 4.612 4.612 4.612 60.00 60.00 60.00
Element x y z (fractional)
Cu 0.750 0.750 0.750
Fe 0.500 0.500 0.500
Os 0.000 0.000 0.000
Rb 0.250 0.250 0.250



Which formula does entry 1 have? Sr2LuFe



Which of these has the lowest total DFT energy (no corrections)? ScCo2NiSb2



Number 1 is which compound? Sr2LuFe



What is the total DFT energy (no corrections) in the third record? -16.739 eV for the cell shown